Model A:
Entry from Alexandria via LeMat-Bulk: NbReHIr2 after structural relaxation (PBE).

## Properties
DOS(E_F)   3.528 states/eV/cell
Volume   63 Å³/cell

CIF file:
```
data_NbReHIr2
_chemical_formula_sum 'Nb1 Re1 H1 Ir2'
_cell_length_a 3.9243
_cell_length_b 3.9243
_cell_length_c 4.1213
_cell_angle_alpha 90.00
_cell_angle_beta 90.00
_cell_angle_gamma 90.00
_space_group_name_H-M_alt 'P 4/m m m'
_space_group_IT_number 123
_space_group_name_Hall '-P 4 2'
loop_
_atom_site_label
_atom_site_type_symbol
_atom_site_fract_x
_atom_site_fract_y
_atom_site_fract_z
Nb1 Nb 0.0000 0.0000 0.0000
Re1 Re 0.5000 0.5000 0.0000
H1 H 0.0000 0.0000 0.5000
Ir1 Ir 0.0000 0.5000 0.5000
```



Model B:
Entry from Alexandria via LeMat-Bulk: NbReHIr2 after structural relaxation (PBE).

## Properties
DOS(E_F)   2.848 states/eV/cell
Volume   63 Å³/cell

CIF file:
```
data_NbReHIr2
_chemical_formula_sum 'Nb1 Re1 H1 Ir2'
_cell_length_a 3.9563
_cell_length_b 3.9563
_cell_length_c 4.0547
_cell_angle_alpha 90.00
_cell_angle_beta 90.00
_cell_angle_gamma 90.00
_space_group_name_H-M_alt 'P 4/m m m'
_space_group_IT_number 123
_space_group_name_Hall '-P 4 2'
loop_
_atom_site_label
_atom_site_type_symbol
_atom_site_fract_x
_atom_site_fract_y
_atom_site_fract_z
Nb1 Nb 0.0000 0.0000 0.0000
Re1 Re 0.5000 0.5000 0.0000
H1 H 0.5000 0.5000 0.5000
Ir1 Ir 0.0000 0.5000 0.5000
```



The structure with the least stability is model A.



Model A:
Entry from Alexandria via LeMat-Bulk: NbHIr2Rh after structural relaxation (PBE).

## Properties
DOS(E_F)   2.820 states/eV/cell
Volume   63 Å³/cell

CIF file:
```
data_NbHIr2Rh
_chemical_formula_sum 'Nb1 H1 Ir2 Rh1'
_cell_length_a 3.9794
_cell_length_b 3.9794
_cell_length_c 3.9680
_cell_angle_alpha 90.00
_cell_angle_beta 90.00
_cell_angle_gamma 90.00
_space_group_name_H-M_alt 'P 4/m m m'
_space_group_IT_number 123
_space_group_name_Hall '-P 4 2'
loop_
_atom_site_label
_atom_site_type_symbol
_atom_site_fract_x
_atom_site_fract_y
_atom_site_fract_z
Nb1 Nb 0.0000 0.0000 0.0000
H1 H 0.5000 0.5000 0.5000
Ir1 Ir 0.0000 0.5000 0.5000
Rh1 Rh 0.5000 0.5000 0.0000
```



Model B:
Entry from Alexandria via LeMat-Bulk: NbHIr2Rh after structural relaxation (PBE).

## Properties
DOS(E_F)   2.661 states/eV/cell
Volume   63 Å³/cell

CIF file:
```
data_NbHIr2Rh
_chemical_formula_sum 'Nb1 H1 Ir2 Rh1'
_cell_length_a 3.9330
_cell_length_b 3.9330
_cell_length_c 4.0704
_cell_angle_alpha 90.00
_cell_angle_beta 90.00
_cell_angle_gamma 90.00
_space_group_name_H-M_alt 'P 4/m m m'
_space_group_IT_number 123
_space_group_name_Hall '-P 4 2'
loop_
_atom_site_label
_atom_site_type_symbol
_atom_site_fract_x
_atom_site_fract_y
_atom_site_fract_z
Nb1 Nb 0.0000 0.0000 0.0000
H1 H 0.0000 0.0000 0.5000
Ir1 Ir 0.0000 0.5000 0.5000
Rh1 Rh 0.5000 0.5000 0.0000
```



The structure with the least stability is model B.